Entry 1:
# TmTlNiTe3 | OQMD via LeMat-Bulk | PBE | relaxed
# Energy above the lowest structure with this stoichiometry in eV per atom: 0.0083
# Theoretical density in g/cm3: 7.2
# Magnetic moment in Bohr magnetons per cell: 0.0
data_TmTlNiTe3
_symmetry_space_group_name_H-M 'P 1 21/m 1'
_symmetry_Int_Tables_number 11
_cell_length_a 8.9948
_cell_length_b 4.1309
_cell_length_c 10.9506
_cell_angle_alpha 90.00
_cell_angle_beta 112.89
_cell_angle_gamma 90.00
loop_
_symmetry_equiv_pos_as_xyz
'x,y,z'
'-x,-y,-z'
'-x,y+1/2,-z'
'x,-y+1/2,z'
loop_
_atom_site_label
_atom_site_fract_x
_atom_site_fract_y
_atom_site_fract_z
Tm1 0.1905 0.2500 0.1504
Tl1 0.2284 0.7500 0.6960
Ni1 0.4075 0.7500 0.3895
Te1 0.0594 0.2500 0.8534
Te2 0.2973 0.2500 0.4580
Te3 0.4449 0.7500 0.1716

---

Entry 2:
# TmTlNiTe3 | OQMD via LeMat-Bulk | PBE | relaxed
# Energy above the lowest structure with this stoichiometry in eV per atom: 0.1107
# Theoretical density in g/cm3: 8.0
# Magnetic moment in Bohr magnetons per cell: 0.1
data_TmTlNiTe3
_symmetry_space_group_name_H-M 'P n m a'
_symmetry_Int_Tables_number 62
_cell_length_a 9.8456
_cell_length_b 4.2671
_cell_length_c 16.1500
_cell_angle_alpha 90.00
_cell_angle_beta 90.00
_cell_angle_gamma 90.00
loop_
_symmetry_equiv_pos_as_xyz
'x,y,z'
'-x,-y,-z'
'-x+1/2,-y,z+1/2'
'x+1/2,y,-z+1/2'
'x+1/2,-y+1/2,-z+1/2'
'-x+1/2,y+1/2,z+1/2'
'-x,y+1/2,-z'
'x,-y+1/2,z'
loop_
_atom_site_label
_atom_site_fract_x
_atom_site_fract_y
_atom_site_fract_z
Tm1 0.1607 0.2500 0.0449
Tl1 0.1037 0.7500 0.3171
Ni1 0.1682 0.7500 0.8656
Te1 0.0242 0.2500 0.8767
Te2 0.1572 0.2500 0.4842
Te3 0.1773 0.7500 0.7067

---

Entry 3:
# YTlNiTe3 | OQMD via LeMat-Bulk | PBE | relaxed
# Energy above the lowest structure with this stoichiometry in eV per atom: 0.0535
# Theoretical density in g/cm3: 7.2
# Magnetic moment in Bohr magnetons per cell: 0.0
data_YTlNiTe3
_symmetry_space_group_name_H-M 'P n m a'
_symmetry_Int_Tables_number 62
_cell_length_a 12.5865
_cell_length_b 4.2453
_cell_length_c 12.7325
_cell_angle_alpha 90.00
_cell_angle_beta 90.00
_cell_angle_gamma 90.00
loop_
_symmetry_equiv_pos_as_xyz
'x,y,z'
'-x,-y,-z'
'-x+1/2,-y,z+1/2'
'x+1/2,y,-z+1/2'
'x+1/2,-y+1/2,-z+1/2'
'-x+1/2,y+1/2,z+1/2'
'-x,y+1/2,-z'
'x,-y+1/2,z'
loop_
_atom_site_label
_atom_site_fract_x
_atom_site_fract_y
_atom_site_fract_z
Y1 0.0367 0.2500 0.1920
Tl1 0.1956 0.2500 0.4979
Ni1 0.2326 0.7500 0.3183
Te1 0.0349 0.7500 0.3623
Te2 0.0972 0.2500 0.9348
Te3 0.2160 0.7500 0.7204

---

Entry 4:
# YTlNiTe3 | OQMD via LeMat-Bulk | PBE | relaxed
# Energy above the lowest structure with this stoichiometry in eV per atom: 0.0232
# Theoretical density in g/cm3: 6.8
# Magnetic moment in Bohr magnetons per cell: 0.0
data_YTlNiTe3
_symmetry_space_group_name_H-M 'C m c m'
_symmetry_Int_Tables_number 63
_symmetry_space_group_name_Hall '-C 2c 2'
_cell_length_a 4.1105
_cell_length_b 15.8415
_cell_length_c 11.0383
_cell_angle_alpha 90.00
_cell_angle_beta 90.00
_cell_angle_gamma 90.00
loop_
_atom_site_label
_atom_site_fract_x
_atom_site_fract_y
_atom_site_fract_z
Y1 0.0000 0.0000 0.0000
Tl1 0.0000 0.2523 0.2500
Ni1 0.0000 0.4747 0.7500
Te1 0.0000 0.0744 0.7500
Te2 0.0000 0.3668 0.5764

---

Entry 5:
# YTlNiTe3 | OQMD via LeMat-Bulk | PBE | relaxed
# Energy above the lowest structure with this stoichiometry in eV per atom: 0.1369
# Theoretical density in g/cm3: 7.2
# Magnetic moment in Bohr magnetons per cell: 0.2
data_YTlNiTe3
_symmetry_space_group_name_H-M 'P n m a'
_symmetry_Int_Tables_number 62
_cell_length_a 9.0279
_cell_length_b 4.3901
_cell_length_c 17.2172
_cell_angle_alpha 90.00
_cell_angle_beta 90.00
_cell_angle_gamma 90.00
loop_
_symmetry_equiv_pos_as_xyz
'x,y,z'
'-x,-y,-z'
'-x+1/2,-y,z+1/2'
'x+1/2,y,-z+1/2'
'x+1/2,-y+1/2,-z+1/2'
'-x+1/2,y+1/2,z+1/2'
'-x,y+1/2,-z'
'x,-y+1/2,z'
loop_
_atom_site_label
_atom_site_fract_x
_atom_site_fract_y
_atom_site_fract_z
Y1 0.2218 0.2500 0.0469
Tl1 0.0846 0.7500 0.2925
Ni1 0.1319 0.7500 0.8635
Te1 0.0117 0.2500 0.9028
Te2 0.1312 0.2500 0.4494
Te3 0.1842 0.7500 0.7185

---

Entry 6:
# YTlNiTe3 | OQMD via LeMat-Bulk | PBE | relaxed
# Energy above the lowest structure with this stoichiometry in eV per atom: 0.0079
# Theoretical density in g/cm3: 6.4
# Magnetic moment in Bohr magnetons per cell: 0.0
data_YTlNiTe3
_symmetry_space_group_name_H-M 'P 1 21/m 1'
_symmetry_Int_Tables_number 11
_cell_length_a 9.0263
_cell_length_b 4.1678
_cell_length_c 10.9539
_cell_angle_alpha 90.00
_cell_angle_beta 112.08
_cell_angle_gamma 90.00
loop_
_symmetry_equiv_pos_as_xyz
'x,y,z'
'-x,-y,-z'
'-x,y+1/2,-z'
'x,-y+1/2,z'
loop_
_atom_site_label
_atom_site_fract_x
_atom_site_fract_y
_atom_site_fract_z
Y1 0.1916 0.2500 0.1500
Tl1 0.2290 0.7500 0.6949
Ni1 0.4086 0.7500 0.3908
Te1 0.0602 0.2500 0.8508
Te2 0.3009 0.2500 0.4595
Te3 0.4481 0.7500 0.1736